(1)
! PmCuNi | Alexandria via LeMat-Bulk | PBE-GGA | relaxed; values from VASP
&SYSTEM
  ibrav = 0, nat = 3, ntyp = 3
/
ATOMIC_SPECIES
Ni 58.69 Ni.upf
Cu 63.55 Cu.upf
Pm 145.00 Pm.upf
CELL_PARAMETERS angstrom
-3.374 1.600 -0.140
-1.355 -2.598 2.984
1.700 3.677 1.042
ATOMIC_POSITIONS angstrom
Ni -0.562 0.267 -0.023
Cu -0.899 -0.240 2.314
Pm -1.568 2.651 1.596
! Polymorph energy (0 for the lowest one): 0.00 eV/f.u.
! Symmetry: P-6m2



(2)
! Pm3CuNi3 | Alexandria via LeMat-Bulk | PBE-GGA | relaxed; values from VASP
&SYSTEM
  ibrav = 0, nat = 14, ntyp = 3
/
ATOMIC_SPECIES
Pm 145.00 Pm.upf
Cu 63.55 Cu.upf
Ni 58.69 Ni.upf
CELL_PARAMETERS angstrom
4.174 0.000 0.000
-2.087 5.010 0.000
0.000 0.000 13.225
ATOMIC_POSITIONS angstrom
Pm 0.000 2.105 11.862
Pm 2.087 2.905 1.363
Pm 0.000 2.105 7.976
Pm 2.087 2.905 5.249
Pm 0.000 4.935 9.919
Pm 2.087 0.075 3.306
Cu 2.087 0.000 0.000
Cu 2.087 0.000 6.612
Ni 2.087 4.245 12.060
Ni 0.000 0.765 1.165
Ni 2.087 4.245 7.778
Ni 0.000 0.765 5.447
Ni 2.087 2.878 9.919
Ni 0.000 2.132 3.306
! Polymorph energy (0 for the lowest one): 0.00 eV/f.u.
! Symmetry: Cmcm



(3)
! Pm2CuNi | Alexandria via LeMat-Bulk | PBE-GGA | relaxed; values from VASP
&SYSTEM
  ibrav = 0, nat = 8, ntyp = 3
/
ATOMIC_SPECIES
Pm 145.00 Pm.upf
Cu 63.55 Cu.upf
Ni 58.69 Ni.upf
CELL_PARAMETERS angstrom
-2.894 -3.195 -1.158
2.966 -3.754 2.945
-5.282 3.165 4.468
ATOMIC_POSITIONS angstrom
Pm -3.760 -1.893 1.715
Pm -1.449 -1.891 4.539
Pm 1.243 -3.519 2.303
Pm -6.452 -0.265 3.951
Cu -1.763 -3.913 2.298
Cu -3.447 0.129 3.957
Ni -0.774 -1.497 1.764
Ni -4.436 -2.287 4.490
! Symmetry: P2_1/m



(4)
! Pm3CuNi8 | Alexandria via LeMat-Bulk | PBE-GGA | relaxed; values from VASP
&SYSTEM
  ibrav = 0, nat = 12, ntyp = 3
/
ATOMIC_SPECIES
Pm 145.00 Pm.upf
Cu 63.55 Cu.upf
Ni 58.69 Ni.upf
CELL_PARAMETERS angstrom
5.026 0.000 0.000
2.513 4.353 0.000
2.513 1.451 8.263
ATOMIC_POSITIONS angstrom
Pm 5.026 2.902 7.160
Pm 7.539 4.353 0.273
Pm 5.026 2.902 3.942
Cu 7.539 4.353 3.264
Ni 6.295 2.169 1.570
Ni 6.298 5.070 5.615
Ni 3.758 2.169 1.570
Ni 8.781 5.070 5.615
Ni 2.513 1.451 3.585
Ni 7.539 4.353 7.735
Ni 5.026 4.367 1.570
Ni 7.539 2.919 5.615
! Symmetry: R3m



(5)
! PmCuNi2 | Alexandria via LeMat-Bulk | PBE-GGA | relaxed; values from VASP
&SYSTEM
  ibrav = 0, nat = 16, ntyp = 3
/
ATOMIC_SPECIES
Pm 145.00 Pm.upf
Cu 63.55 Cu.upf
Ni 58.69 Ni.upf
CELL_PARAMETERS angstrom
4.732 0.000 0.000
0.000 5.200 0.000
0.000 0.000 11.458
ATOMIC_POSITIONS angstrom
Pm 0.000 1.300 6.966
Pm 2.366 3.900 1.261
Pm 0.000 3.900 4.491
Pm 2.366 1.300 10.197
Cu 2.366 3.900 7.737
Cu 2.366 1.300 3.721
Cu 0.000 1.300 3.772
Cu 0.000 3.900 7.685
Ni 0.000 0.000 0.000
Ni 2.366 2.600 5.729
Ni 1.178 3.900 9.823
Ni 3.554 1.300 1.635
Ni 3.554 3.900 9.823
Ni 1.178 1.300 1.635
Ni 0.000 2.600 0.000
Ni 2.366 0.000 5.729
! Polymorph energy (0 for the lowest one): 0.89 eV/f.u.
! Symmetry: Pmma



(6)
! Pm2Cu3Ni4 | Alexandria via LeMat-Bulk | PBE-GGA | relaxed; values from VASP
&SYSTEM
  ibrav = 0, nat = 18, ntyp = 3
/
ATOMIC_SPECIES
Pm 145.00 Pm.upf
Cu 63.55 Cu.upf
Ni 58.69 Ni.upf
CELL_PARAMETERS angstrom
-3.663 3.725 0.270
-3.690 -3.259 -5.118
-1.833 -5.841 5.042
ATOMIC_POSITIONS angstrom
Pm -2.960 -2.775 -1.883
Pm -6.226 -2.601 2.077
Pm -3.192 -3.401 3.610
Pm -5.994 -1.974 -3.416
Cu 0.000 0.000 0.000
Cu -3.677 0.233 -2.424
Cu -5.612 -3.607 -1.046
Cu -5.406 0.094 1.374
Cu -3.574 -1.768 1.240
Cu -3.781 -5.470 -1.181
Ni -6.818 -4.917 0.658
Ni -4.199 1.404 -0.329
Ni -2.368 -0.459 -0.464
Ni -4.987 -6.779 0.523
Ni -4.898 -4.573 -3.375
Ni -4.289 -0.803 3.569
Ni -4.276 -4.271 0.911
Ni -4.910 -1.104 -0.718
! Symmetry: Cmce



(7)
! PmCuNi3 | Alexandria via LeMat-Bulk | PBE-GGA | relaxed; values from VASP
&SYSTEM
  ibrav = 0, nat = 10, ntyp = 3
/
ATOMIC_SPECIES
Pm 145.00 Pm.upf
Cu 63.55 Cu.upf
Ni 58.69 Ni.upf
CELL_PARAMETERS angstrom
-4.212 -1.539 0.457
0.088 -1.521 -4.314
2.868 -6.438 4.754
ATOMIC_POSITIONS angstrom
Pm -0.515 -1.716 0.594
Pm -0.742 -7.782 0.302
Cu 1.087 -5.675 2.023
Cu -2.343 -3.823 -1.126
Ni -1.611 -5.294 0.671
Ni -1.653 -4.566 2.738
Ni 0.354 -4.204 0.225
Ni 0.397 -4.932 -1.841
Ni -2.062 -1.530 -1.929
Ni 0.044 -0.760 -2.157
! Symmetry: Cmcm



(8)
! Pm2Cu3Ni | Alexandria via LeMat-Bulk | PBE-GGA | relaxed; values from VASP
&SYSTEM
  ibrav = 0, nat = 6, ntyp = 3
/
ATOMIC_SPECIES
Pm 145.00 Pm.upf
Cu 63.55 Cu.upf
Ni 58.69 Ni.upf
CELL_PARAMETERS angstrom
3.788 0.000 0.000
0.000 4.174 0.000
0.000 0.000 7.335
ATOMIC_POSITIONS angstrom
Pm 0.000 2.087 0.072
Pm 0.000 0.000 3.606
Cu 1.894 0.000 6.123
Cu 1.894 0.000 1.228
Cu 1.894 2.087 4.866
Ni 1.894 2.087 2.443
! Symmetry: Pmm2



(9)
! Pm6Cu2Ni | Alexandria via LeMat-Bulk | PBE-GGA | relaxed; values from VASP
&SYSTEM
  ibrav = 0, nat = 18, ntyp = 3
/
ATOMIC_SPECIES
Pm 145.00 Pm.upf
Cu 63.55 Cu.upf
Ni 58.69 Ni.upf
CELL_PARAMETERS angstrom
-1.898 0.009 -6.489
2.299 -6.886 -0.682
-9.376 -3.329 2.004
ATOMIC_POSITIONS angstrom
Pm -1.726 -7.486 -5.684
Pm -5.214 -6.537 -4.611
Pm -8.734 -7.753 -4.108
Pm -6.204 -3.137 -3.204
Pm -9.718 -4.369 -2.703
Pm -2.508 -4.050 -4.026
Pm -7.248 -2.721 0.517
Pm -3.761 -3.669 -0.556
Pm -0.240 -2.454 -1.058
Pm -2.771 -7.070 -1.963
Pm 0.743 -5.837 -2.464
Pm -6.466 -6.156 -1.140
Cu -7.810 -5.109 -4.897
Cu -6.174 -8.641 -2.698
Cu -2.801 -1.566 -2.469
Cu -1.165 -5.098 -0.269
Ni 0.201 -3.439 -3.586
Ni -4.688 -1.664 1.002
! Symmetry: P2_1/c



(10)
! Pm5Cu4Ni | Alexandria via LeMat-Bulk | PBE-GGA | relaxed; values from VASP
&SYSTEM
  ibrav = 0, nat = 10, ntyp = 3
/
ATOMIC_SPECIES
Pm 145.00 Pm.upf
Cu 63.55 Cu.upf
Ni 58.69 Ni.upf
CELL_PARAMETERS angstrom
3.531 0.000 0.000
0.000 3.531 0.000
0.000 0.000 17.889
ATOMIC_POSITIONS angstrom
Pm 1.765 1.765 1.694
Pm 1.765 1.765 5.326
Pm 1.765 1.765 8.944
Pm 1.765 1.765 12.563
Pm 1.765 1.765 16.194
Cu 0.000 0.000 3.536
Cu 0.000 0.000 7.136
Cu 0.000 0.000 10.753
Cu 0.000 0.000 14.353
Ni 0.000 0.000 0.000
! Symmetry: P4/mmm



(11)
! Pm2Cu2Ni15 | Alexandria via LeMat-Bulk | PBE-GGA | relaxed; values from VASP
&SYSTEM
  ibrav = 0, nat = 19, ntyp = 3
/
ATOMIC_SPECIES
Pm 145.00 Pm.upf
Cu 63.55 Cu.upf
Ni 58.69 Ni.upf
CELL_PARAMETERS angstrom
-0.623 -4.628 4.234
6.133 -1.356 0.533
1.101 3.514 5.116
ATOMIC_POSITIONS angstrom
Pm 2.262 -0.845 3.382
Pm 4.348 -1.625 6.501
Cu 0.649 -0.243 0.971
Cu 5.961 -2.228 8.913
Ni -0.312 -2.314 2.117
Ni 0.550 1.757 2.558
Ni 3.067 -0.678 0.267
Ni 4.655 0.074 1.879
Ni 1.360 -3.668 3.148
Ni 0.594 1.124 4.857
Ni 4.149 -2.317 1.620
Ni -0.117 -2.237 4.493
Ni 2.578 2.084 3.771
Ni 4.647 0.704 4.354
Ni 3.781 -3.384 3.911
Ni 1.255 -0.939 6.212
Ni 1.963 -3.174 5.529
Ni 2.829 0.914 5.972
Ni 5.356 -1.532 3.671
! Symmetry: R-3m



(12)
! Pm7Cu2Ni2 | Alexandria via LeMat-Bulk | PBE-GGA | relaxed; values from VASP
&SYSTEM
  ibrav = 0, nat = 11, ntyp = 3
/
ATOMIC_SPECIES
Pm 145.00 Pm.upf
Cu 63.55 Cu.upf
Ni 58.69 Ni.upf
CELL_PARAMETERS angstrom
-3.288 2.244 -5.491
0.759 -6.293 -3.026
-4.121 -2.730 4.643
ATOMIC_POSITIONS angstrom
Pm -5.150 -0.772 -3.959
Pm -5.205 -6.251 -0.338
Pm -1.499 -6.008 0.086
Pm -1.445 -0.529 -3.535
Pm 0.000 0.000 0.000
Pm -3.138 -4.937 -2.683
Pm -3.512 -1.843 -1.190
Cu -5.809 -3.553 -2.221
Cu -0.841 -3.227 -1.653
Ni -2.782 -5.564 -5.432
Ni -3.867 -1.216 1.558
! Symmetry: Cmmm



(13)
! PmCuNi5 | Alexandria via LeMat-Bulk | PBE-GGA | relaxed; values from VASP
&SYSTEM
  ibrav = 0, nat = 28, ntyp = 3
/
ATOMIC_SPECIES
Pm 145.00 Pm.upf
Cu 63.55 Cu.upf
Ni 58.69 Ni.upf
CELL_PARAMETERS angstrom
4.875 0.000 0.000
0.000 7.875 0.000
0.000 0.000 9.967
ATOMIC_POSITIONS angstrom
Pm 1.219 1.889 9.370
Pm 3.656 2.048 4.387
Pm 1.219 5.827 5.581
Pm 3.656 5.986 0.597
Cu 1.219 6.742 8.525
Cu 3.656 5.070 3.541
Cu 1.219 2.805 6.426
Cu 3.656 1.133 1.442
Ni 1.219 4.733 0.184
Ni 3.656 7.079 5.168
Ni 1.219 0.796 4.800
Ni 3.656 3.142 9.783
Ni 3.656 2.494 7.436
Ni 1.219 1.443 2.452
Ni 3.656 6.432 7.515
Ni 1.219 5.381 2.532
Ni 1.219 7.400 0.997
Ni 3.656 4.413 5.981
Ni 1.219 3.462 3.987
Ni 3.656 0.475 8.970
Ni 4.855 3.409 1.888
Ni 0.021 0.528 6.871
Ni 2.458 7.347 3.096
Ni 2.417 4.466 8.080
Ni 0.021 4.466 8.080
Ni 4.855 7.347 3.096
Ni 2.417 0.528 6.871
Ni 2.458 3.409 1.888
! Symmetry: Pnma



(14)
! Pm2Cu5Ni5 | Alexandria via LeMat-Bulk | PBE-GGA | relaxed; values from VASP
&SYSTEM
  ibrav = 0, nat = 12, ntyp = 3
/
ATOMIC_SPECIES
Pm 145.00 Pm.upf
Cu 63.55 Cu.upf
Ni 58.69 Ni.upf
CELL_PARAMETERS angstrom
3.979 0.000 0.000
0.000 5.050 0.000
0.000 0.000 8.717
ATOMIC_POSITIONS angstrom
Pm 0.000 2.525 0.000
Pm 0.000 0.000 4.358
Cu 0.000 2.525 2.901
Cu 0.000 0.000 7.236
Cu 0.000 0.000 1.481
Cu 0.000 2.525 5.816
Cu 1.989 0.000 0.000
Ni 1.989 2.525 4.358
Ni 1.989 3.784 2.193
Ni 1.989 1.266 6.523
Ni 1.989 1.266 2.193
Ni 1.989 3.784 6.523
! Symmetry: Pmmm



(15)
! Pm2Cu3Ni2 | Alexandria via LeMat-Bulk | PBE-GGA | relaxed; values from VASP
&SYSTEM
  ibrav = 0, nat = 7, ntyp = 3
/
ATOMIC_SPECIES
Pm 145.00 Pm.upf
Cu 63.55 Cu.upf
Ni 58.69 Ni.upf
CELL_PARAMETERS angstrom
-4.055 0.340 0.209
1.837 -4.243 2.829
0.623 4.845 4.196
ATOMIC_POSITIONS angstrom
Pm -1.646 2.299 4.032
Pm 0.051 -1.358 3.202
Cu 0.357 0.744 5.714
Cu 0.000 0.000 0.000
Cu -1.952 0.198 1.520
Ni 0.209 1.268 1.997
Ni -1.804 -0.326 5.238
! Symmetry: C2/m



(16)
! PmCuNi | Alexandria via LeMat-Bulk | PBE-GGA | relaxed; values from VASP
&SYSTEM
  ibrav = 0, nat = 18, ntyp = 3
/
ATOMIC_SPECIES
Pm 145.00 Pm.upf
Cu 63.55 Cu.upf
Ni 58.69 Ni.upf
CELL_PARAMETERS angstrom
4.140 0.000 0.000
-2.070 8.892 -0.217
0.000 -2.897 9.313
ATOMIC_POSITIONS angstrom
Pm 2.939 -0.724 2.328
Pm 1.200 -2.173 6.984
Pm 1.068 2.340 1.393
Pm -1.002 5.103 3.047
Pm 1.002 3.655 7.703
Pm 3.072 0.891 6.049
Cu 3.177 -0.788 8.571
Cu 1.107 5.334 5.181
Cu -1.107 6.783 0.525
Cu 0.963 0.660 3.915
Cu -1.035 4.446 -0.108
Cu 1.035 2.997 4.548
Ni 0.000 -1.449 4.656
Ni 0.000 0.000 0.000
Ni 3.070 2.119 3.500
Ni 1.000 5.324 0.939
Ni -1.000 3.875 5.596
Ni 1.070 0.670 8.157
! Polymorph energy (0 for the lowest one): 0.18 eV/f.u.
! Symmetry: C2/c



(17)
! PmCuNi | Alexandria via LeMat-Bulk | PBE-GGA | relaxed; values from VASP
&SYSTEM
  ibrav = 0, nat = 3, ntyp = 3
/
ATOMIC_SPECIES
Ni 58.69 Ni.upf
Cu 63.55 Cu.upf
Pm 145.00 Pm.upf
CELL_PARAMETERS angstrom
3.410 0.000 0.000
0.000 3.410 0.000
-1.705 -1.705 4.640
ATOMIC_POSITIONS angstrom
Ni 0.000 0.000 2.411
Cu 1.705 1.705 1.340
Pm 1.705 1.705 4.138
! Polymorph energy (0 for the lowest one): 0.54 eV/f.u.
! Symmetry: I4mm



(18)
! Pm8Cu2Ni | Alexandria via LeMat-Bulk | PBE-GGA | relaxed; values from VASP
&SYSTEM
  ibrav = 0, nat = 11, ntyp = 3
/
ATOMIC_SPECIES
Pm 145.00 Pm.upf
Cu 63.55 Cu.upf
Ni 58.69 Ni.upf
CELL_PARAMETERS angstrom
5.143 0.000 0.000
0.000 6.807 0.374
-2.572 -2.472 8.491
ATOMIC_POSITIONS angstrom
Pm 0.000 1.748 7.196
Pm 2.572 5.819 3.140
Pm 2.572 3.047 5.339
Pm 2.572 -0.858 8.037
Pm 0.000 1.288 3.526
Pm 0.000 -1.484 5.725
Pm 2.572 2.587 1.668
Pm 0.000 5.193 0.827
Cu 2.572 0.222 5.362
Cu 0.000 4.113 3.502
Ni 2.572 0.000 0.000
! Polymorph energy (0 for the lowest one): 0.00 eV/f.u.
! Symmetry: C2/m



(19)
! PmCu6Ni4 | Alexandria via LeMat-Bulk | PBE-GGA | relaxed; values from VASP
&SYSTEM
  ibrav = 0, nat = 11, ntyp = 3
/
ATOMIC_SPECIES
Pm 145.00 Pm.upf
Cu 63.55 Cu.upf
Ni 58.69 Ni.upf
CELL_PARAMETERS angstrom
6.121 -0.143 -0.210
-2.957 5.362 0.210
-2.957 -1.776 5.063
ATOMIC_POSITIONS angstrom
Pm 0.000 0.000 0.000
Cu -3.518 3.203 2.409
Cu -3.518 1.062 3.865
Cu 2.775 0.815 1.199
Cu 1.582 -0.959 2.427
Cu -1.447 1.948 2.865
Cu 1.582 2.609 0.000
Ni -1.902 -0.403 2.754
Ni 0.730 1.570 2.309
Ni -1.902 2.709 0.638
Ni -2.632 3.152 4.635
! Symmetry: I-42m



(20)
! Pm3CuNi3 | Alexandria via LeMat-Bulk | PBE-GGA | relaxed; values from VASP
&SYSTEM
  ibrav = 0, nat = 14, ntyp = 3
/
ATOMIC_SPECIES
Pm 145.00 Pm.upf
Cu 63.55 Cu.upf
Ni 58.69 Ni.upf
CELL_PARAMETERS angstrom
-1.378 -3.726 3.833
4.376 -5.761 -4.028
3.630 4.641 5.818
ATOMIC_POSITIONS angstrom
Pm 4.317 -3.855 3.767
Pm 0.783 -4.615 1.758
Pm 4.182 -6.795 0.861
Pm 2.311 -0.991 1.855
Pm 5.846 -0.231 3.865
Pm 2.446 1.949 4.762
Cu 3.783 -3.225 0.212
Cu 2.846 -1.621 5.410
Ni 4.950 -1.970 1.852
Ni 1.487 -2.797 -0.197
Ni 4.914 -4.909 -1.018
Ni 1.679 -2.876 3.770
Ni 5.142 -2.049 5.820
Ni 1.715 0.063 6.641
! Polymorph energy (0 for the lowest one): 2.02 eV/f.u.
! Symmetry: P6_3/m



| no. | ΔH_f (0 K) (eV/atom) | density of states at the Fermi level (states/eV/f.u.) |
| --- | --- | --- |
| 1 | -0.27 | 2.112 |
| 2 | -0.32 | 4.695 |
| 3 | -0.27 | 3.454 |
| 4 | -0.30 | 10.492 |
| 5 | -0.08 | 3.169 |
| 6 | -0.21 | 3.482 |
| 7 | 0.10 | 5.046 |
| 8 | -0.25 | 4.618 |
| 9 | -0.08 | 9.837 |
| 10 | -0.18 | 8.711 |
| 11 | -0.17 | 23.901 |
| 12 | -0.02 | 13.567 |
| 13 | -0.18 | 9.134 |
| 14 | -0.25 | 8.172 |
| 15 | -0.22 | 4.081 |
| 16 | -0.21 | 1.716 |
| 17 | -0.09 | 2.643 |
| 18 | -0.08 | 11.036 |
| 19 | 0.22 | 7.020 |
| 20 | -0.04 | 4.020 |